Below is a relaxed SrNiPb2O crystal, with properties calculated at the PBE+U level.

The calculation puts the total magnetization at 1.2 μB per formula unit. The total energy is -2.65 eV per atom. The calculated volume is 30.93 Å³/atom.

It has space group P4/mmm (No. 123), with a = 6.095 Å, b = 6.095 Å, c = 4.163 Å, α = 90.00°, β = 90.00° and γ = 90.00°. The inequivalent atoms are Sr at (0.000, 0.000, 0.000), Ni at (0.500, 0.500, 0.500), Pb at (0.000, 0.500, 0.000) and O at (0.000, 0.000, 0.500).